Ba4Sr7Ac: relaxed, PBE-GGA.

abc: 6.9080 7.6823 15.1932
angles: 84.24 76.86 63.28
Last column: nearest neighbours and their distance in Å.
Positions (direct):
Ba1 0.5913 0.6141 0.2034  8 Sr 4.01-4.41, 2 Ba 4.48
Ba2 0.4087 0.3859 0.7966  8 Sr 4.01-4.41, 2 Ba 4.48
Ba3 0.8709 0.6201 0.6381  9 Sr 4.26-4.77, 3 Ba 4.40-4.48
Ba4 0.1291 0.3799 0.3619  9 Sr 4.26-4.77, 3 Ba 4.40-4.48
Sr1 0.7840 0.5104 0.9215  1 Sr 3.55, 1 Ac 3.69
Sr2 0.2160 0.4896 0.0785  1 Sr 3.55, 1 Ac 3.69
Sr3 0.1287 0.0071 0.7355  1 Ac 3.91, 1 Sr 4.17, 1 Ba 4.36
Sr4 0.8713 0.9929 0.2645  1 Ac 3.91, 1 Sr 4.17, 1 Ba 4.36
Sr5 0.3653 0.7987 0.4707  4 Ba 4.15-4.42, 4 Sr 4.17-4.51
Sr6 0.5000 0.0000 0.0000  2 Ac 3.45, 2 Sr 3.55
Sr7 0.6347 0.2013 0.5293  4 Ba 4.15-4.42, 4 Sr 4.17-4.51
Ac1 0.0000 0.0000 0.0000  4 Sr 3.45-3.69

Computed properties:
* excess energy over the best structure of this formula in the dataset: 8.0 meV per atom
* ρ: 3.29 g/cm³
* SG: C2/m (12)
* total magnetic moment: 0.000 μB per formula unit



RbCo2Te2: relaxed, PBE-GGA.

abc: 4.8312 4.8312 6.7128
angles: 68.91 68.91 90.00
Last column: nearest neighbours and their distance in Å.
Positions (direct):
Te1 0.7500 0.2500 0.5000  4 Co 2.56
Te2 0.2500 0.7500 0.5000  4 Co 2.56
Co1 0.3229 0.3229 0.3541  4 Te 2.56
Co2 0.6771 0.6771 0.6459  4 Te 2.56
Rb1 0.0000 0.0000 0.0000  10 Co 3.73-3.98, 8 Te 3.77

Computed properties:
* excess energy over the best structure of this formula in the dataset: 408.9 meV per atom
* ρ: 5.65 g/cm³
* SG: I4/mmm (139)
* uncorrected formation energy: 0.12 eV/atom
* total magnetic moment: 0.911 μB per formula unit



| no. | N(E_F) (states/eV per cell) |
| --- | --- |
| 1 | 15.2 |
| 2 | 5.8 |